A plane-wave DFT calculation with PBE was carried out for a relaxed structure of Pr3Tm5O12.

Unit cell a=11.765 b=11.765 c=11.765 alpha=109.47 beta=109.47 gamma=109.47
Positions (direct):
Pr  0.125  0.250  0.375
Pr  0.125  0.375  0.750
Pr  0.250  0.375  0.125
Pr  0.250  0.875  0.625
Pr  0.375  0.125  0.250
Pr  0.375  0.750  0.125
Pr  0.625  0.250  0.875
Pr  0.625  0.875  0.750
Pr  0.750  0.125  0.375
Pr  0.750  0.625  0.875
Pr  0.875  0.625  0.250
Pr  0.875  0.750  0.625
Tm  0.000  0.000  0.000
Tm  0.000  0.000  0.500
Tm  0.000  0.500  0.000
Tm  0.000  0.500  0.500
Tm  0.125  0.750  0.875
Tm  0.125  0.875  0.250
Tm  0.250  0.125  0.875
Tm  0.250  0.625  0.375
Tm  0.375  0.250  0.625
Tm  0.375  0.625  0.750
Tm  0.500  0.000  0.000
Tm  0.500  0.000  0.500
Tm  0.500  0.500  0.000
Tm  0.500  0.500  0.500
Tm  0.625  0.375  0.250
Tm  0.625  0.750  0.375
Tm  0.750  0.375  0.625
Tm  0.750  0.875  0.125
Tm  0.875  0.125  0.750
Tm  0.875  0.250  0.125
O  0.037  0.213  0.128
O  0.037  0.325  0.909
O  0.085  0.713  0.675
O  0.085  0.872  0.409
O  0.091  0.628  0.415
O  0.091  0.963  0.675
O  0.128  0.037  0.213
O  0.128  0.591  0.915
O  0.175  0.213  0.585
O  0.175  0.463  0.591
O  0.213  0.128  0.037
O  0.213  0.585  0.175
O  0.287  0.325  0.915
O  0.287  0.463  0.372
O  0.325  0.909  0.037
O  0.325  0.915  0.287
O  0.372  0.287  0.463
O  0.372  0.585  0.909
O  0.409  0.085  0.872
O  0.409  0.825  0.537
O  0.415  0.091  0.628
O  0.415  0.825  0.787
O  0.463  0.372  0.287
O  0.463  0.591  0.175
O  0.537  0.409  0.825
O  0.537  0.628  0.713
O  0.585  0.175  0.213
O  0.585  0.909  0.372
O  0.591  0.175  0.463
O  0.591  0.915  0.128
O  0.628  0.415  0.091
O  0.628  0.713  0.537
O  0.675  0.085  0.713
O  0.675  0.091  0.963
O  0.713  0.537  0.628
O  0.713  0.675  0.085
O  0.787  0.415  0.825
O  0.787  0.872  0.963
O  0.825  0.537  0.409
O  0.825  0.787  0.415
O  0.872  0.409  0.085
O  0.872  0.963  0.787
O  0.909  0.037  0.325
O  0.909  0.372  0.585
O  0.915  0.128  0.591
O  0.915  0.287  0.325
O  0.963  0.675  0.091
O  0.963  0.787  0.872

Summary:
Energy relative to the elements, uncorrected ... -3415 meV/atom
Total magnetization ... 0.0 Bohr magnetons per cell
SG ... Ia-3d

---

A plane-wave DFT calculation with PBE was carried out for a relaxed structure of LiCa2As4Pd3.

Unit cell a=4.257 b=4.257 c=10.760 alpha=90.00 beta=90.00 gamma=90.00
Positions (direct):
Li  0.000  0.000  0.000
Ca  0.000  0.500  0.758
Ca  0.500  0.000  0.242
As  0.000  0.000  0.500
As  0.000  0.500  0.138
As  0.500  0.000  0.862
As  0.500  0.500  0.500
Pd  0.000  0.500  0.368
Pd  0.500  0.000  0.632
Pd  0.500  0.500  0.000

Summary:
Total magnetization ... 0.0 Bohr magnetons per cell
SG ... P-4m2
Formation energy ... -0.76 eV/atom

---

A plane-wave DFT calculation with PBE was carried out for a relaxed structure of MnHW3.

Unit cell a=3.974 b=3.974 c=3.974 alpha=90.00 beta=90.00 gamma=90.00
Positions (direct):
Mn  0.000  0.000  0.000
H  0.500  0.500  0.500
W  0.000  0.500  0.500
W  0.500  0.000  0.500
W  0.500  0.500  0.000

Summary:
Total magnetization ... 0.0 Bohr magnetons per cell
Energy above the lowest structure with this stoichiometry ... 0 meV per atom
SG ... Pm-3m

---

A plane-wave DFT calculation with PBE was carried out for a relaxed structure of LaFeSe2.

Unit cell a=4.969 b=4.969 c=4.969 alpha=60.00 beta=60.00 gamma=60.00
Positions (direct):
La  0.000  0.000  0.000
Fe  0.500  0.500  0.500
Se  0.250  0.250  0.250
Se  0.750  0.750  0.750

Summary:
Energy relative to the elements, uncorrected ... -872 meV/atom
Total magnetization ... 3.0 Bohr magnetons per cell
Energy above the lowest structure with this stoichiometry ... 141 meV per atom
SG ... Fm-3m

---

Uncorrected energy across the listed records, respectively: -8.225 -4.769 -9.907 -5.961 eV/atom.
N(E_F) across the listed records, respectively: 0.00 3.72 5.97 0.00 states/eV/cell.